A plane-wave DFT calculation with SCAN was carried out for a PBEsol-optimized structure of CrPt2Au.

Values from the calculation:
Formation energy (eV/f.u.): -0.881
D(E_F) (states/eV per atom): 0.76
Space group: I-4m2 (119)
Total magnetic moment (μB/f.u.): 2.89
Calculated volume (Å³ per cell): 59.6

Cell lengths 3.8946, 3.8946, 4.7988 Å; angles 113.94, 113.94, 90.00 degrees
Each line ends with the local moment (μB).
Fractional coordinates of all 4 atoms:
Au: 0.5000 0.5000 0.0000  0.01
Cr: 0.2500 0.7500 0.5000  3.14
Pt: 0.7500 0.2500 0.5000  -0.20
Pt: 0.0000 0.0000 0.0000  -0.21